(1)
GGA-PBE Sc2NiSn, optimized geometry; mass density = 5.7 g/cm3; E_tot = -24.290 eV/cell; spin magnetization = 0.0 μB per formula unit
1.0
3.867 0.000 0.000
0.000 4.479 0.000
0.000 0.000 4.479
Sn Ni Sc
1 1 2
Cartesian
1.933 0.000 0.000 Sn
1.933 2.239 2.239 Ni
0.000 2.239 0.000 Sc
0.000 0.000 2.239 Sc

(2)
GGA-PBE Sc2NiSn2, optimized geometry; mass density = 6.0 g/cm3; E_tot = -58.298 eV/cell; spin magnetization = 0.0 μB per formula unit; distance to the lowest polymorph of the same formula = 0.0000 eV/atom
1.0
5.875 0.000 0.000
0.000 5.927 0.000
-2.937 -2.963 6.106
Ni Sn Sc
2 4 4
Cartesian
1.469 2.963 0.000 Ni
4.406 2.963 0.000 Ni
2.937 1.135 1.141 Sn
0.000 1.829 4.964 Sn
2.937 -1.829 4.964 Sn
0.000 4.792 1.141 Sn
0.000 -1.166 4.146 Sc
2.937 4.129 1.960 Sc
0.000 1.798 1.960 Sc
2.937 1.166 4.146 Sc

Number 1: DFT formation energy -0.461 eV per atom. Number 2: DFT formation energy -0.540 eV per atom.